VASP calculation (GGA-PBE) on BaHg after structural relaxation.

Computed properties:
Calculated total energy (eV per atom): -1.488
Space-group type: No. 166
ΔE_f (meV/atom): -376

Structure (POSCAR):
```
BaHg
1.0
2.567 1.482 7.889
-2.567 1.482 7.889
0.000 -2.964 7.889
Ba Hg
2 2
Direct
0.086 0.086 0.086
0.914 0.914 0.914
0.333 0.333 0.333
0.667 0.667 0.667
```

VASP calculation (GGA-PBE) on Ba4Hg5 after structural relaxation.

Computed properties:
Calculated total energy (eV per atom): -1.439
Space-group type: No. 193
ΔE_f (meV/atom): -417

Structure (POSCAR):
```
Ba4Hg5
1.0
10.371 0.000 0.000
-5.186 8.982 0.000
0.000 0.000 7.273
Ba Hg
8 10
Direct
0.000 0.000 0.000
0.000 0.000 0.500
0.000 0.376 0.250
0.000 0.624 0.750
0.376 0.000 0.250
0.376 0.376 0.750
0.624 0.000 0.750
0.624 0.624 0.250
0.000 0.292 0.750
0.000 0.708 0.250
0.292 0.000 0.750
0.292 0.292 0.250
0.333 0.667 0.000
0.333 0.667 0.500
0.667 0.333 0.000
0.667 0.333 0.500
0.708 0.000 0.250
0.708 0.708 0.750
```

VASP calculation (GGA-PBE) on Ba5Hg3 after structural relaxation.

Computed properties:
Calculated total energy (eV per atom): -1.728
Offset from the most stable computed form (eV per atom): 0.0000
Space-group type: No. 123
ΔE_f (meV/atom): -413

Structure (POSCAR):
```
Ba5Hg3
1.0
4.249 0.000 0.000
0.000 4.249 0.000
0.000 0.000 19.429
Ba Hg
5 3
Direct
0.000 0.000 0.000
0.000 0.000 0.210
0.000 0.000 0.790
0.500 0.500 0.397
0.500 0.500 0.603
0.000 0.000 0.500
0.500 0.500 0.113
0.500 0.500 0.887
```

VASP calculation (GGA-PBE) on BaHo2Hg after structural relaxation.

Computed properties:
Calculated total energy (eV per atom): -2.766
Space-group type: No. 166
ΔE_f (meV/atom): 79

Structure (POSCAR):
```
BaHo2Hg
1.0
1.838 1.061 11.868
-1.838 1.061 11.868
0.000 -2.122 11.868
Ba Ho Hg
1 2 1
Direct
0.000 0.000 0.000
0.102 0.102 0.102
0.898 0.898 0.898
0.500 0.500 0.500
```

VASP calculation (GGA-PBE) on BaHo4Hg5 after structural relaxation.

Computed properties:
Calculated total energy (eV per atom): -2.649
Space-group type: No. 123
ΔE_f (meV/atom): -475

Structure (POSCAR):
```
BaHo4Hg5
1.0
3.772 0.000 0.000
0.000 3.772 0.000
0.000 0.000 19.195
Ba Ho Hg
1 4 5
Direct
0.000 0.000 0.000
0.000 0.000 0.215
0.000 0.000 0.406
0.000 0.000 0.594
0.000 0.000 0.785
0.500 0.500 0.128
0.500 0.500 0.311
0.500 0.500 0.500
0.500 0.500 0.689
0.500 0.500 0.872
```

VASP calculation (GGA-PBE) on BaHoHg after structural relaxation.

Computed properties:
Calculated total energy (eV per atom): -2.514
Space-group type: No. 107
ΔE_f (meV/atom): -246

Structure (POSCAR):
```
BaHoHg
1.0
-1.976 1.976 6.870
1.976 -1.976 6.870
1.976 1.976 -6.870
Ba Ho Hg
1 1 1
Direct
0.000 0.000 0.000
0.274 0.274 0.000
0.680 0.680 0.000
```

VASP calculation (GGA-PBE) on Ba2HoHg after structural relaxation.

Computed properties:
Calculated total energy (eV per atom): -1.997
Space-group type: No. 166
ΔE_f (meV/atom): 184

Structure (POSCAR):
```
Ba2HoHg
1.0
1.954 1.128 12.555
-1.954 1.128 12.555
0.000 -2.257 12.555
Ba Ho Hg
2 1 1
Direct
0.096 0.096 0.096
0.904 0.904 0.904
0.000 0.000 0.000
0.500 0.500 0.500
```

VASP calculation (GGA-PBE) on BaHoInHg after structural relaxation.

Computed properties:
Calculated total energy (eV per atom): -2.711
Space-group type: No. 216
ΔE_f (meV/atom): -325

Structure (POSCAR):
```
BaHoInHg
1.0
0.000 3.999 3.999
3.999 0.000 3.999
3.999 3.999 0.000
Ba Ho In Hg
1 1 1 1
Direct
0.000 0.000 0.000
0.500 0.500 0.500
0.250 0.250 0.250
0.750 0.750 0.750
```

VASP calculation (GGA-PBE) on BaLiHoHg after structural relaxation.

Computed properties:
Calculated total energy (eV per atom): -2.260
Space-group type: No. 216
ΔE_f (meV/atom): -81

Structure (POSCAR):
```
BaLiHoHg
1.0
0.000 3.957 3.957
3.957 0.000 3.957
3.957 3.957 0.000
Ba Li Ho Hg
1 1 1 1
Direct
0.000 0.000 0.000
0.250 0.250 0.250
0.500 0.500 0.500
0.750 0.750 0.750
```

VASP calculation (GGA-PBE) on Ba2LiHoHg6 after structural relaxation.

Computed properties:
Calculated total energy (eV per atom): -1.547
Space-group type: No. 2
ΔE_f (meV/atom): -332

Structure (POSCAR):
```
Ba2LiHoHg6
1.0
6.909 0.000 0.000
3.434 6.748 0.000
3.444 0.889 6.878
Ba Li Ho Hg
2 1 1 6
Direct
0.248 0.303 0.205
0.752 0.697 0.795
0.500 0.500 0.500
0.000 0.000 0.000
0.258 0.749 0.264
0.260 0.875 0.604
0.269 0.252 0.735
0.731 0.748 0.265
0.740 0.125 0.396
0.742 0.251 0.736
```

VASP calculation (GGA-PBE) on BaHoMgHg after structural relaxation.

Computed properties:
Calculated total energy (eV per atom): -2.227
Space-group type: No. 216
ΔE_f (meV/atom): -128

Structure (POSCAR):
```
BaHoMgHg
1.0
0.000 3.987 3.987
3.987 0.000 3.987
3.987 3.987 0.000
Ba Ho Mg Hg
1 1 1 1
Direct
0.000 0.000 0.000
0.500 0.500 0.500
0.250 0.250 0.250
0.750 0.750 0.750
```

VASP calculation (GGA-PBE) on Ba2HoHgO4 after structural relaxation.

Computed properties:
Calculated total energy (eV per atom): -5.769
Space-group type: No. 82
Formation energy (no corrections) (eV/atom): -2.199

Structure (POSCAR):
```
Ba2HoHgO4
1.0
-2.852 2.852 5.812
2.852 -2.852 5.812
2.852 2.852 -5.812
Ba Ho Hg O
2 1 1 4
Direct
0.000 0.000 0.000
0.750 0.250 0.500
0.500 0.500 0.000
0.250 0.750 0.500
0.168 0.183 0.565
0.397 0.832 0.015
0.618 0.603 0.435
0.817 0.382 0.985
```